# Ho6TlIn3, optimized geometry, DFT PBE
# Volume ... 27.53 Å³ per atom
# Total DFT energy (no corrections) ... -4.139 eV/atom
data_Ho6TlIn3
_chemical_formula_sum 'Ho12 Tl2 In6'
_cell_length_a 9.6274
_cell_length_b 5.2055
_cell_length_c 11.3694
_cell_angle_alpha 90.00
_cell_angle_beta 104.90
_cell_angle_gamma 90.00
_space_group_name_H-M_alt 'P 1 21/m 1'
_space_group_IT_number 11
loop_
_space_group_symop_operation_xyz
'x,y,z'
'-x,-y,-z'
'-x,y+1/2,-z'
'x,-y+1/2,z'
loop_
_atom_site_label
_atom_site_type_symbol
_atom_site_fract_x
_atom_site_fract_y
_atom_site_fract_z
Ho1 Ho 0.0522 0.2500 0.4114
Ho2 Ho 0.1547 0.7500 0.1830
Ho3 Ho 0.2545 0.2500 0.9952
Ho4 Ho 0.3294 0.7500 0.8006
Ho5 Ho 0.3714 0.2500 0.3253
Ho6 Ho 0.4000 0.2500 0.6185
Tl1 Tl 0.4446 0.7500 0.1086
In1 In 0.0299 0.7500 0.8883
In2 In 0.1193 0.2500 0.7090
In3 In 0.2828 0.7500 0.4751

***

# PaZnW, optimized geometry, DFT PBE
# Volume ... 19.53 Å³ per atom
# Total DFT energy (no corrections) ... -7.612 eV/atom
data_PaZnW
_chemical_formula_sum 'Pa6 Zn6 W6'
_cell_length_a 3.0435
_cell_length_b 3.0435
_cell_length_c 43.8149
_cell_angle_alpha 90.00
_cell_angle_beta 90.00
_cell_angle_gamma 120.00
_space_group_name_H-M_alt 'R -3 m'
_space_group_IT_number 166
_space_group_name_Hall '-R 3 2"'
loop_
_atom_site_label
_atom_site_type_symbol
_atom_site_fract_x
_atom_site_fract_y
_atom_site_fract_z
Pa1 Pa 0.0000 0.0000 0.0847
Zn1 Zn 0.0000 0.0000 0.3572
W1 W 0.0000 0.0000 0.1891